VASP calculation (PBE+U) on an optimized crystal structure of LaPaCr2O8.

a = 6.103 Å, b = 6.103 Å, c = 6.103 Å
α = 106.69°, β = 106.69°, γ = 115.18°
Positions (direct):
La (0.000, 0.000, 0.000)
Pa (0.250, 0.750, 0.500)
Cr (0.500, 0.500, 0.000)
Cr (0.750, 0.250, 0.500)
O (0.326, 0.134, 0.808)
O (0.326, 0.519, 0.192)
O (0.382, 0.054, 0.328)
O (0.481, 0.674, 0.808)
O (0.727, 0.054, 0.672)
O (0.866, 0.674, 0.192)
O (0.946, 0.273, 0.328)
O (0.946, 0.618, 0.672)

Spin magnetization: 0.3333 μB/atom
Calculated volume: 173.7 Å³ per cell
Space-group type: I-4m2, No. 119
DFT total energy: -8.299 eV/atom